FeSi GGA-PBEsol relaxed; spin magnetization = 0.0 μB per formula unit; raw formation energy = -0.3587 eV/atom
1.0
-0.353 -2.392 0.987
0.940 -2.084 -1.261
3.328 -1.194 1.752
Fe Si
1 1
direct
0.000 0.000 0.000
0.500 0.500 0.500

LiCaCl GGA-PBEsol relaxed; spin magnetization = 0.0 μB per formula unit; polymorph energy (0 for the lowest one) = 298 meV/atom; raw formation energy = -0.7552 eV/atom
1.0
4.714 0.000 0.000
2.357 4.083 0.000
2.357 1.361 3.849
Li Cl Ca
1 1 1
direct
0.000 0.000 0.000
0.250 0.250 0.250
0.500 0.500 0.500

WAuBr2 GGA-PBEsol relaxed; spin magnetization = 0.0 μB per formula unit; polymorph energy (0 for the lowest one) = 0 meV/atom; raw formation energy = 0.2944 eV/atom
1.0
-1.386 -2.660 0.717
3.226 1.160 3.908
-6.146 3.360 0.589
W Au Br
1 1 2
direct
0.544 0.088 0.376
0.813 0.626 0.373
0.156 0.313 0.684
0.986 0.972 0.067

Li2YOs GGA-PBEsol relaxed; spin magnetization = 0.0 μB per formula unit; energy of formation = 551 meV/atom; polymorph energy (0 for the lowest one) = 273 meV/atom
1.0
-1.427 -2.236 0.717
0.909 0.039 -2.592
8.670 -4.579 2.973
Li Y Os
2 1 1
direct
0.000 0.000 0.288
0.000 0.000 0.712
0.500 0.500 0.000
0.500 0.500 0.500

no.,Fermi-level density of states (states/eV per cell)
1,2.36
2,0.20
3,3.55
4,3.12